# K2SrSiW

A crystal of K2SrSiW relaxed with PBEsol (SCAN, Alexandria).

Cell lengths 5.1115, 5.8746, 5.8746 Å; angles 90.00, 90.00, 90.00 degrees
Last column: nearest neighbours and their distance in Å.
Element x y z (fractional)
K 0.0000 0.5000 0.0000  2 Sr 2.94
K 0.0000 0.0000 0.5000  2 Sr 2.94
W 0.5000 0.0000 0.0000  2 Sr 2.56
Si 0.5000 0.5000 0.5000  8 K 3.89, 4 W 4.15
Sr 0.0000 0.0000 0.0000  2 W 2.56

Calculated values
* space group: P4/mmm
* uncorrected formation energy: 2.20 eV/atom